A:
A plane-wave DFT calculation with PBE was carried out for a geometry-optimized ErAsOsO structure.

The space group is Pmc2_1 (No. 26) and the conventional cell measures 4.0914, 6.0027 and 5.7185 Å, with angles of 90.00, 90.00 and 90.00 degrees. The asymmetric unit holds Er at (0.0000, 0.1857, 0.0000), As at (0.0000, 0.3135, 0.4757), Os at (0.5000, 0.4931, 0.1919) and O at (0.5000, 0.2415, 0.9239).

B:
A plane-wave DFT calculation with PBE was carried out for a geometry-optimized ErAsOsO structure.

The space group is P4/nmm (No. 129, origin choice 2) and the conventional cell measures 4.2916, 4.2916 and 6.7289 Å, with angles of 90.00, 90.00 and 90.00 degrees. The asymmetric unit holds Er at (0.2500, 0.7500, 0.0000), As at (0.2500, 0.2500, 0.2836), Os at (0.2500, 0.2500, 0.6500) and O at (0.2500, 0.7500, 0.5000).

Least stable = B

A:
A plane-wave DFT calculation with PBE was carried out for a geometry-optimized ErAsOsO structure.

The space group is Pmc2_1 (No. 26) and the conventional cell measures 4.1849, 4.2226 and 7.2528 Å, with angles of 90.00, 90.00 and 90.00 degrees. The asymmetric unit holds Er at (0.0000, 0.2471, 0.0000), As at (0.5000, 0.2418, 0.6696), Os at (0.5000, 0.2493, 0.3378) and O at (0.0000, 0.3109, 0.3171).

B:
A plane-wave DFT calculation with PBE was carried out for a geometry-optimized ErAsOsO structure.

The space group is P4/nmm (No. 129, origin choice 2) and the conventional cell measures 4.0422, 4.0422 and 7.9151 Å, with angles of 90.00, 90.00 and 90.00 degrees. The asymmetric unit holds Er at (0.2500, 0.2500, 0.1280), As at (0.2500, 0.2500, 0.6757), Os at (0.2500, 0.7500, 0.5000) and O at (0.2500, 0.7500, 0.0000).

Least stable = A

A:
A plane-wave DFT calculation with PBE was carried out for a geometry-optimized ErAsPO structure.

The space group is P4/mmm (No. 123) and the conventional cell measures 3.9249, 3.9249 and 4.6797 Å, with angles of 90.00, 90.00 and 90.00 degrees. The asymmetric unit holds Er at (0.0000, 0.0000, 0.0000), As at (0.5000, 0.5000, 0.5000), P at (0.5000, 0.5000, 0.0000) and O at (0.0000, 0.0000, 0.5000).

B:
A plane-wave DFT calculation with PBE was carried out for a geometry-optimized ErAsPO structure.

The space group is Pmc2_1 (No. 26) and the conventional cell measures 4.8835, 6.7529 and 6.1919 Å, with angles of 90.00, 90.00 and 90.00 degrees. The asymmetric unit holds Er at (0.0000, 0.1718, 0.0000), As at (0.5000, 0.3139, 0.5724), P at (0.5000, 0.3725, 0.9388) and O at (0.0000, 0.0648, 0.3031).

C:
A plane-wave DFT calculation with PBE was carried out for a geometry-optimized ErAsPO structure.

The space group is P4/nmm (No. 129, origin choice 2) and the conventional cell measures 4.2705, 4.2705 and 7.6914 Å, with angles of 90.00, 90.00 and 90.00 degrees. The asymmetric unit holds Er at (0.2500, 0.2500, 0.1071), As at (0.2500, 0.7500, 0.5000), P at (0.2500, 0.2500, 0.6677) and O at (0.2500, 0.7500, 0.0000).

D:
A plane-wave DFT calculation with PBE was carried out for a geometry-optimized ErAsPO structure.

The space group is Pmc2_1 (No. 26) and the conventional cell measures 3.4403, 6.8903 and 6.5510 Å, with angles of 90.00, 90.00 and 90.00 degrees. The asymmetric unit holds Er at (0.0000, 0.1969, 0.0000), As at (0.5000, 0.3984, 0.6376), P at (0.0000, 0.3616, 0.4045) and O at (0.5000, 0.0639, 0.0951).

Least stable = A

A:
A plane-wave DFT calculation with PBE was carried out for a geometry-optimized ErPaAsO structure.

The space group is Pmc2_1 (No. 26) and the conventional cell measures 4.1243, 8.0361 and 5.5491 Å, with angles of 90.00, 90.00 and 90.00 degrees. The asymmetric unit holds Er at (0.0000, 0.2252, 0.0000), Pa at (0.5000, 0.3768, 0.4993), As at (0.0000, 0.1302, 0.4998) and O at (0.5000, 0.3323, 0.0019).

B:
A plane-wave DFT calculation with PBE was carried out for a geometry-optimized ErPaAsO structure.

The space group is P4/nmm (No. 129, origin choice 2) and the conventional cell measures 4.2010, 4.2010 and 9.2403 Å, with angles of 90.00, 90.00 and 90.00 degrees. The asymmetric unit holds Er at (0.2500, 0.2500, 0.0987), Pa at (0.2500, 0.7500, 0.5000), As at (0.2500, 0.2500, 0.7269) and O at (0.2500, 0.7500, 0.0000).

Least stable = B

A:
A plane-wave DFT calculation with PBE was carried out for a geometry-optimized ErAsPbO structure.

The space group is P4/nmm (No. 129, origin choice 2) and the conventional cell measures 5.5579, 5.5579 and 5.5704 Å, with angles of 90.00, 90.00 and 90.00 degrees. The asymmetric unit holds Er at (0.2500, 0.7500, 0.0000), As at (0.2500, 0.2500, 0.0107), Pb at (0.2500, 0.2500, 0.5088) and O at (0.2500, 0.7500, 0.5000).

B:
A plane-wave DFT calculation with PBE was carried out for a geometry-optimized ErAsPbO structure.

The space group is P4/nmm (No. 129, origin choice 2) and the conventional cell measures 4.2642, 4.2642 and 9.5712 Å, with angles of 90.00, 90.00 and 90.00 degrees. The asymmetric unit holds Er at (0.2500, 0.2500, 0.0895), As at (0.2500, 0.2500, 0.7366), Pb at (0.2500, 0.7500, 0.5000) and O at (0.2500, 0.7500, 0.0000).

C:
A plane-wave DFT calculation with PBE was carried out for a geometry-optimized ErAsPbO structure.

The space group is Pmc2_1 (No. 26) and the conventional cell measures 5.0917, 6.5228 and 6.2986 Å, with angles of 90.00, 90.00 and 90.00 degrees. The asymmetric unit holds Er at (0.0000, 0.1498, 0.0000), As at (0.5000, 0.2868, 0.8836), Pb at (0.5000, 0.2624, 0.3991) and O at (0.0000, 0.1298, 0.3336).

D:
A plane-wave DFT calculation with PBE was carried out for a geometry-optimized ErAsPbO structure.

The space group is Pmc2_1 (No. 26) and the conventional cell measures 3.9865, 8.4071 and 6.0175 Å, with angles of 90.00, 90.00 and 90.00 degrees. The asymmetric unit holds Er at (0.0000, 0.1608, 0.0000), As at (0.0000, 0.1727, 0.4845), Pb at (0.5000, 0.3812, 0.6105) and O at (0.5000, 0.2517, 0.9640).

Least stable = A

A:
A plane-wave DFT calculation with PBE was carried out for a geometry-optimized PmErAsO structure.

The space group is Pmc2_1 (No. 26) and the conventional cell measures 4.1599, 7.9306 and 5.6472 Å, with angles of 90.00, 90.00 and 90.00 degrees. The asymmetric unit holds Pm at (0.0000, 0.1233, 0.0000), Er at (0.5000, 0.2867, 0.4633), As at (0.5000, 0.3585, 0.9593) and O at (0.0000, 0.1759, 0.4258).

B:
A plane-wave DFT calculation with PBE was carried out for a geometry-optimized PmErAsO structure.

The space group is P4/nmm (No. 129, origin choice 2) and the conventional cell measures 4.2816, 4.2816 and 9.0953 Å, with angles of 90.00, 90.00 and 90.00 degrees. The asymmetric unit holds Pm at (0.2500, 0.7500, 0.0000), Er at (0.2500, 0.2500, 0.4044), As at (0.2500, 0.2500, 0.7810) and O at (0.2500, 0.7500, 0.5000).

C:
A plane-wave DFT calculation with PBE was carried out for a geometry-optimized PmErAsO structure.

The space group is Pmc2_1 (No. 26) and the conventional cell measures 4.3040, 7.4705 and 6.0865 Å, with angles of 90.00, 90.00 and 90.00 degrees. The asymmetric unit holds Pm at (0.0000, 0.2041, 0.0000), Er at (0.5000, 0.3935, 0.5869), As at (0.0000, 0.1813, 0.4910) and O at (0.5000, 0.3367, 0.9395).

Least stable = B